Record 1
{"formula": "Fe2CuPbN", "functional": "PBE", "state": "relaxed", "lattice": [[-1.4602, 4.4067, 1.8972], [0.7307, -1.4506, 3.9320], [4.7198, 1.6754, -0.2590]], "species": ["Pb", "Fe", "Fe", "Cu", "N"], "fractional_positions": [[0.0000, 0.0000, 0.0000], [0.0000, 0.0000, 0.5000], [0.5000, 0.0000, 0.0000], [0.5000, 0.5000, 0.5000], [0.0000, 0.5000, 0.0000]], "raw_formation_energy_ev_per_atom": 2.1440, "n_ef_per_ev_atom": 1.41, "spacegroup": "P4/mmm, No. 123"}

Record 2
{"formula": "FeCuPd2N", "functional": "PBE", "state": "relaxed", "lattice": [[4.2158, 0.0000, 0.0000], [0.0000, 4.2158, 0.0000], [0.0000, 0.0000, 3.6447]], "species": ["N", "Cu", "Pd", "Pd", "Fe"], "fractional_positions": [[0.0000, 0.0000, 0.0000], [0.5000, 0.5000, 0.5000], [0.0000, 0.5000, 0.0000], [0.5000, 0.0000, 0.0000], [0.0000, 0.0000, 0.5000]], "raw_formation_energy_ev_per_atom": 0.1448, "n_ef_per_ev_atom": 0.96, "spacegroup": "P4/mmm, No. 123"}

Record 3
{"formula": "FeCuPdN2", "functional": "PBE", "state": "relaxed", "lattice": [[-0.4147, 3.6753, 1.0412], [-4.9018, -0.4651, -0.3104], [-0.1331, -1.0606, 3.6908]], "species": ["N", "N", "Cu", "Pd", "Fe"], "fractional_positions": [[0.0000, 0.0000, 0.5000], [0.5000, 0.0000, 0.0000], [0.5000, 0.5000, 0.5000], [0.0000, 0.0000, 0.0000], [0.0000, 0.5000, 0.0000]], "raw_formation_energy_ev_per_atom": 1.8413, "n_ef_per_ev_atom": 0.71, "spacegroup": "P4/mmm, No. 123"}

Record 4
{"formula": "FeCuRh2N", "functional": "PBE", "state": "relaxed", "lattice": [[4.0543, 0.0000, 0.0000], [0.0000, 4.0543, 0.0000], [0.0000, 0.0000, 3.7500]], "species": ["Rh", "Rh", "Fe", "Cu", "N"], "fractional_positions": [[0.0000, 0.5000, 0.0000], [0.5000, 0.0000, 0.0000], [0.0000, 0.0000, 0.5000], [0.5000, 0.5000, 0.5000], [0.0000, 0.0000, 0.0000]], "raw_formation_energy_ev_per_atom": 0.1117, "n_ef_per_ev_atom": 0.84, "spacegroup": "P4/mmm, No. 123"}

Record 5
{"formula": "Fe2CuRhN", "functional": "PBE", "state": "relaxed", "lattice": [[-0.8188, -3.7022, 0.6245], [3.7444, -0.8521, -0.1420], [0.2793, 0.5868, 3.8451]], "species": ["Rh", "Fe", "Fe", "Cu", "N"], "fractional_positions": [[0.5000, 0.5000, 0.5000], [0.0000, 0.5000, 0.0000], [0.5000, 0.0000, 0.0000], [0.0000, 0.0000, 0.5000], [0.0000, 0.0000, 0.0000]], "e_above_lowest_polymorph_ev_per_atom": 0.020, "raw_formation_energy_ev_per_atom": 0.0553, "n_ef_per_ev_atom": 0.71, "spacegroup": "P4/mmm, No. 123"}

Record 6
{"formula": "Fe2CuRhN", "functional": "PBE", "state": "relaxed", "lattice": [[3.7816, 0.0000, 0.0000], [0.0000, 3.7816, 0.0000], [0.0000, 0.0000, 4.0531]], "species": ["Rh", "Fe", "Fe", "Cu", "N"], "fractional_positions": [[0.0000, 0.0000, 0.5000], [0.0000, 0.5000, 0.0000], [0.5000, 0.0000, 0.0000], [0.5000, 0.5000, 0.5000], [0.0000, 0.0000, 0.0000]], "e_above_lowest_polymorph_ev_per_atom": 0.000, "raw_formation_energy_ev_per_atom": 0.0357, "n_ef_per_ev_atom": 1.05, "spacegroup": "P4/mmm, No. 123"}

Record 7
{"formula": "FeCuSN2", "functional": "PBE", "state": "relaxed", "lattice": [[3.4893, 0.0000, 0.0000], [0.0000, 3.4893, 0.0000], [0.0000, 0.0000, 5.1965]], "species": ["S", "Fe", "Cu", "N", "N"], "fractional_positions": [[0.0000, 0.0000, 0.5000], [0.0000, 0.0000, 0.0000], [0.5000, 0.5000, 0.5000], [0.0000, 0.5000, 0.0000], [0.5000, 0.0000, 0.0000]], "e_above_lowest_polymorph_ev_per_atom": 0.000, "raw_formation_energy_ev_per_atom": 0.7588, "n_ef_per_ev_atom": 0.74, "spacegroup": "P4/mmm, No. 123"}

Record 8
{"formula": "FeCuSN2", "functional": "PBE", "state": "relaxed", "lattice": [[-2.3157, 1.4343, -2.3225], [-2.7250, -1.3924, 1.8572], [-0.2564, 4.7788, 3.2068]], "species": ["S", "Fe", "Cu", "N", "N"], "fractional_positions": [[0.0000, 0.0000, 0.5000], [0.5000, 0.5000, 0.5000], [0.0000, 0.0000, 0.0000], [0.0000, 0.5000, 0.0000], [0.5000, 0.0000, 0.0000]], "e_above_lowest_polymorph_ev_per_atom": 0.786, "raw_formation_energy_ev_per_atom": 1.5451, "n_ef_per_ev_atom": 1.14, "spacegroup": "P4/mmm, No. 123"}